1.
Material: CdSiAu3
Method: DFT, GGA-PBE
State: optimized geometry

**Formation energy from raw total energies**: 0.9726 eV/atom
**Energy relative to the lowest polymorph listed for this composition**: 1034.5 meV per atom

Cell lengths 5.117, 5.117, 5.117 Å; angles 90.00, 90.00, 90.00 degrees
Space group Pm-3m (No. 221)
One atom of each set of equivalent atoms:
Cd  0.000  0.000  0.000 x1
Si  0.500  0.500  0.500 x1
Au  0.000  0.000  0.500 x3

2.
Material: Cd2SiAu
Method: DFT, GGA-PBE
State: optimized geometry

**Formation energy from raw total energies**: 0.0745 eV/atom

Cell lengths 4.075, 4.116, 5.248 Å; angles 90.00, 109.10, 90.00 degrees
Space group Pm (No. 6)
One atom of each set of equivalent atoms:
Cd  0.000  0.000  0.000 x1
Cd  0.269  0.500  0.613 x1
Si  0.562  0.500  0.156 x1
Au  0.700  0.000  0.439 x1

3.
Material: Cd3SiAu
Method: DFT, GGA-PBE
State: optimized geometry

**Formation energy from raw total energies**: 0.4080 eV/atom
**Energy relative to the lowest polymorph listed for this composition**: 0.0 meV per atom

Cell lengths 5.092, 5.092, 5.092 Å; angles 90.00, 90.00, 90.00 degrees
Space group Pm-3m (No. 221)
One atom of each set of equivalent atoms:
Cd  0.000  0.000  0.500 x3
Si  0.000  0.000  0.000 x1
Au  0.500  0.500  0.500 x1

Number 1: N(E_F) 2.24 states/eV/f.u.. Number 2: N(E_F) 1.35 states/eV/f.u.. Number 3: N(E_F) 2.34 states/eV/f.u..